Record 1
The following is a PBE-GGA calculation of crystalline Sc2Sn2Pd5 at its relaxed geometry, from Alexandria.

- DFT formation energy (eV per atom) = -0.58
- space-group type = No. 46

Cell and atoms, written as POSCAR:
```
Sc2Sn2Pd5
1.0
-2.5633 6.6962 1.8983
-2.6493 -2.6278 5.6922
8.4607 -0.7355 -0.4709
Sc Sn Pd
4 4 10
Direct
0.1014 0.6791 0.2487
0.8986 0.4305 0.7513
0.6473 0.1791 0.2487
0.3527 0.9305 0.7513
0.0000 0.9542 0.0000
0.5000 0.4542 0.0000
0.2619 0.4130 0.5000
0.7381 0.9130 0.5000
0.2771 0.7417 0.9317
0.7229 0.8100 0.0683
0.1545 0.2417 0.9317
0.8455 0.3100 0.0683
0.3586 0.0213 0.3098
0.6414 0.7115 0.6902
0.4512 0.5213 0.3098
0.5488 0.2115 0.6902
0.9325 0.5746 0.5000
0.0675 0.0746 0.5000
```



Record 2
The following is a PBE-GGA calculation of crystalline Y3IrS at its relaxed geometry, from Alexandria.

- formation energy from raw total energies (meV/atom) = -466
- polymorph energy (0 for the lowest one) (eV/atom) = 0.000
- space-group type = No. 221

Cell and atoms, written as POSCAR:
```
Y3IrS
1.0
-3.1841 3.6457 -1.4417
-3.8735 -3.2120 0.4325
-0.6047 1.3784 4.8210
Y S Ir
3 1 1
Direct
0.0000 0.5000 0.0000
0.0000 0.0000 0.5000
0.5000 0.0000 0.0000
0.0000 0.0000 0.0000
0.5000 0.5000 0.5000
```



Record 3
The following is a PBE-GGA calculation of crystalline PPtCl2 at its relaxed geometry, from Alexandria.

- formation energy from raw total energies (meV/atom) = 432
- polymorph energy (0 for the lowest one) (eV/atom) = 1.007
- space-group type = No. 166

Cell and atoms, written as POSCAR:
```
PPtCl2
1.0
1.7929 0.0000 8.7016
-0.8964 1.5527 8.7016
-0.8964 -1.5527 8.7016
P Pt Cl
1 1 2
Direct
0.5000 0.5000 0.5000
0.0000 0.0000 0.0000
0.9122 0.9122 0.9122
0.0878 0.0878 0.0878
```



Record 4
The following is a PBE-GGA calculation of crystalline MgUTc2 at its relaxed geometry, from Alexandria.

- DFT formation energy (eV per atom) = -0.04
- polymorph energy (0 for the lowest one) (eV/atom) = 0.000
- space-group type = No. 123

Cell and atoms, written as POSCAR:
```
MgUTc2
1.0
3.4438 0.0000 0.0000
0.0000 4.4453 0.0000
0.0000 0.0000 4.4453
Mg U Tc
1 1 2
Direct
0.5000 0.0000 0.0000
0.5000 0.5000 0.5000
0.0000 0.0000 0.5000
0.0000 0.5000 0.0000
```



Record 5
The following is a PBE-GGA calculation of crystalline Sm3RuRh2 at its relaxed geometry, from Alexandria.

- DFT formation energy (eV per atom) = -0.55
- space-group type = No. 65

Cell and atoms, written as POSCAR:
```
Sm3RuRh2
1.0
4.9517 0.0000 0.0196
2.4758 7.4212 0.0098
-0.0275 0.0000 6.9409
Sm Ru Rh
6 2 4
Direct
0.8326 0.3349 0.7517
0.4999 0.0000 0.2487
0.1674 0.6651 0.2483
0.8325 0.3349 0.2483
0.1675 0.6651 0.7517
0.5001 0.0000 0.7513
0.3333 0.3333 0.0000
0.6667 0.6667 0.0000
0.0000 0.0000 0.0000
0.0000 0.0000 0.5000
0.3343 0.3315 0.5000
0.6657 0.6685 0.5000
```



Record 6
The following is a PBE-GGA calculation of crystalline Tb3Sm2Cd2 at its relaxed geometry, from Alexandria.

- DFT formation energy (eV per atom) = -0.15
- polymorph energy (0 for the lowest one) (eV/atom) = 0.000
- space-group type = No. 166

Cell and atoms, written as POSCAR:
```
Tb3Sm2Cd2
1.0
-0.2516 4.6358 2.8303
-4.1618 -1.4711 -3.1833
-0.4694 -4.5066 7.3396
Tb Sm Cd
3 2 2
Direct
0.5000 0.0000 0.0000
0.6566 0.3132 0.4697
0.3434 0.6868 0.5303
0.9254 0.8509 0.2757
0.0746 0.1491 0.7243
0.7878 0.5756 0.8636
0.2122 0.4244 0.1364
```



Record 7
The following is a PBE-GGA calculation of crystalline CeIr2Rh at its relaxed geometry, from Alexandria.

- DFT formation energy (eV per atom) = 0.02
- space-group type = No. 51

Cell and atoms, written as POSCAR:
```
CeIr2Rh
1.0
8.4784 0.0000 0.0000
0.0000 5.4135 0.0000
0.0000 0.0000 7.7288
Ce Ir Rh
4 8 4
Direct
0.0000 0.2500 0.6540
0.5000 0.7500 0.1971
0.0000 0.7500 0.3460
0.5000 0.2500 0.8029
0.0000 0.0000 0.0000
0.5000 0.5000 0.5000
0.2593 0.7500 0.9586
0.7407 0.2500 0.0414
0.7407 0.7500 0.9586
0.2593 0.2500 0.0414
0.0000 0.5000 0.0000
0.5000 0.0000 0.5000
0.5000 0.7500 0.7804
0.5000 0.2500 0.2196
0.0000 0.2500 0.3215
0.0000 0.7500 0.6785
```



Record 8
The following is a PBE-GGA calculation of crystalline Ba6As2SeS at its relaxed geometry, from Alexandria.

- formation energy from raw total energies (meV/atom) = -1293
- space-group type = No. 14

Cell and atoms, written as POSCAR:
```
Ba6As2SeS
1.0
-4.0767 6.1499 2.3798
-6.8041 -2.5903 -4.9619
-4.1590 -6.4231 9.0562
Ba As Se S
12 4 2 2
Direct
0.3207 0.6843 0.0826
0.8207 0.8157 0.5826
0.6793 0.3157 0.9174
0.1793 0.1843 0.4174
0.3300 0.6907 0.4190
0.8300 0.8093 0.9190
0.6700 0.3093 0.5810
0.1700 0.1907 0.0810
0.8439 0.5479 0.2459
0.3439 0.9521 0.7459
0.1561 0.4521 0.7541
0.6561 0.0479 0.2541
0.0593 0.8888 0.2481
0.5593 0.6112 0.7481
0.9407 0.1112 0.7519
0.4407 0.3888 0.2519
0.5000 0.0000 0.0000
0.0000 0.5000 0.5000
0.5000 0.0000 0.5000
0.0000 0.5000 0.0000
```



The calculation returns the following magnetic moment values, one per record and in order: 0.00; 0.00; 0.00; 0.00; 0.00; 0.00; 0.40; 3.55 μB/cell.